i:
Below is a relaxed SbPSe2 crystal, with properties calculated at the PBE-GGA level.

## Properties
For the density of states at the Fermi level, the calculation gives 2.3 states/eV per cell. For the total magnetization, the calculation gives 0.00 μB per cell.

Cell: 4.8991 4.8991 4.8991 Å, 60.00 60.00 60.00°
With the nearest neighbours (Å) after each atom.
Fractional coordinates of all 4 atoms:
Se1 0.7500 0.7500 0.7500  4 Sb 3.00, 4 P 3.00
Se2 0.2500 0.2500 0.2500  4 Sb 3.00, 4 P 3.00
Sb1 0.5000 0.5000 0.5000  8 Se 3.00
P1 0.0000 0.0000 0.0000  8 Se 3.00

=====

ii:
Below is a relaxed SbPSe2 crystal, with properties calculated at the PBE-GGA level.

## Properties
For the density of states at the Fermi level, the calculation gives 3.0 states/eV per cell. For the total magnetization, the calculation gives 0.00 μB per cell.

Cell: 8.8023 8.8023 8.8023 Å, 25.08 25.08 25.08°
With the nearest neighbours (Å) after each atom.
Fractional coordinates of all 4 atoms:
Se1 0.0928 0.0928 0.0928  1 P 2.37
Se2 0.9072 0.9072 0.9072  1 P 2.37
P1 0.0000 0.0000 0.0000  2 Se 2.37
Sb1 0.5000 0.5000 0.5000  6 Se 2.90

=====

iii:
Below is a relaxed SbPSe2 crystal, with properties calculated at the PBE-GGA level.

## Properties
For the density of states at the Fermi level, the calculation gives 3.4 states/eV per cell. For the total magnetization, the calculation gives 0.00 μB per cell.

Cell: 8.4557 8.4557 8.4557 Å, 154.34 154.34 36.60°
With the nearest neighbours (Å) after each atom.
Fractional coordinates of all 4 atoms:
Se1 0.2500 0.7500 0.5000  4 Se 2.66
Se2 0.7500 0.2500 0.5000  4 Se 2.66
P1 0.5000 0.5000 0.0000  4 Sb 2.66
Sb1 0.0000 0.0000 0.0000  4 P 2.66

=====

iv:
Below is a relaxed SbPSe2 crystal, with properties calculated at the PBE-GGA level.

## Properties
For the density of states at the Fermi level, the calculation gives 1.4 states/eV per cell. For the total magnetization, the calculation gives 0.00 μB per cell.

Cell: 4.1733 4.1733 9.0169 Å, 90.00 90.00 128.33°
With the nearest neighbours (Å) after each atom.
Fractional coordinates of all 4 atoms:
Se1 0.0000 0.0000 0.0601  2 Sb 2.58
Se2 0.5000 0.5000 0.6687  2 P 2.33
P1 0.0000 0.0000 0.5079  2 Se 2.33
Sb1 0.5000 0.5000 0.2633  2 Se 2.58, 2 P 2.86

=====

How do the energies compare? Relative to the most stable structure, in kJ/mol of atoms: i 21.9; ii 11.2; iii 19.1; iv 0.0.

=====

i:
Below is a relaxed Sb3PSe crystal, with properties calculated at the PBE-GGA level.

## Properties
For the density of states at the Fermi level, the calculation gives 4.5 states/eV per cell. For the total magnetization, the calculation gives 0.00 μB per cell.

Cell: 5.3478 5.3478 5.3478 Å, 90.00 90.00 90.00°
With the nearest neighbours (Å) after each atom.
Fractional coordinates of all 5 atoms:
Sb1 0.0000 0.0000 0.5000  2 Se 2.67
Sb2 0.5000 0.0000 0.0000  2 Se 2.67
Sb3 0.0000 0.5000 0.0000  2 Se 2.67
P1 0.5000 0.5000 0.5000  12 Sb 3.78
Se1 0.0000 0.0000 0.0000  6 Sb 2.67

=====

ii:
Below is a relaxed Sb3PSe crystal, with properties calculated at the PBE-GGA level.

## Properties
For the density of states at the Fermi level, the calculation gives 6.1 states/eV per cell. For the total magnetization, the calculation gives 0.00 μB per cell.

Cell: 5.2112 5.2112 5.2112 Å, 90.00 90.00 90.00°
With the nearest neighbours (Å) after each atom.
Fractional coordinates of all 5 atoms:
Se1 0.5000 0.5000 0.5000  12 Sb 3.68
P1 0.0000 0.0000 0.0000  6 Sb 2.61
Sb1 0.0000 0.0000 0.5000  2 P 2.61
Sb2 0.5000 0.0000 0.0000  2 P 2.61
Sb3 0.0000 0.5000 0.0000  2 P 2.61

=====

How do the energies compare? Relative to the most stable structure, in kJ/mol of atoms: i 36.6; ii 0.0.

=====

i:
Below is a relaxed SbPSe3 crystal, with properties calculated at the PBE-GGA level.

## Properties
For the total magnetization, the calculation gives 0.00 μB per cell.

Cell: 3.8040 9.3939 15.3066 Å, 90.00 90.00 90.00°
With the nearest neighbours (Å) after each atom.
Fractional coordinates of all 20 atoms:
P1 0.2500 0.8618 0.5402  3 Se 2.41-2.56
P2 0.7500 0.6382 0.0402  3 Se 2.41-2.56
P3 0.2500 0.3618 0.9598  3 Se 2.41-2.56
P4 0.7500 0.1382 0.4598  3 Se 2.41-2.56
Se1 0.7500 0.0176 0.5990  3 P 2.41-2.56
Se2 0.7500 0.5176 0.9010  3 P 2.41-2.56
Se3 0.2500 0.7114 0.7004  2 Sb 2.68, 1 P 2.83
Se4 0.2500 0.4824 0.0990  3 P 2.41-2.56
Se5 0.7500 0.6820 0.4783  1 Sb 2.65, 2 P 2.71
Se6 0.7500 0.2886 0.2996  2 Sb 2.68, 1 P 2.83
Se7 0.2500 0.8180 0.9783  1 Sb 2.65, 2 P 2.71
Se8 0.2500 0.2115 0.7997  2 Sb 2.68, 1 P 2.83
Se9 0.7500 0.1820 0.0217  1 Sb 2.65, 2 P 2.71
Se10 0.7500 0.7885 0.2003  2 Sb 2.68, 1 P 2.83
Se11 0.2500 0.3180 0.5217  1 Sb 2.65, 2 P 2.71
Se12 0.2500 0.9824 0.4010  3 P 2.41-2.56
Sb1 0.7500 0.0462 0.8700  3 Se 2.65-2.68
Sb2 0.2500 0.4538 0.3700  3 Se 2.65-2.68
Sb3 0.2500 0.9538 0.1300  3 Se 2.65-2.68
Sb4 0.7500 0.5462 0.6300  3 Se 2.65-2.68

=====

ii:
Below is a relaxed SbPSe3 crystal, with properties calculated at the PBE-GGA level.

## Properties
For the density of states at the Fermi level, the calculation gives 4.9 states/eV per cell. For the total magnetization, the calculation gives 0.00 μB per cell.

Cell: 4.8612 4.8612 4.8612 Å, 90.00 90.00 90.00°
With the nearest neighbours (Å) after each atom.
Fractional coordinates of all 5 atoms:
Se1 0.5000 0.0000 0.0000  2 P 2.43
Se2 0.0000 0.5000 0.0000  2 P 2.43
Se3 0.0000 0.0000 0.5000  2 P 2.43
P1 0.0000 0.0000 0.0000  6 Se 2.43
Sb1 0.5000 0.5000 0.5000  12 Se 3.44

=====

iii:
Below is a relaxed SbPSe3 crystal, with properties calculated at the PBE-GGA level.

## Properties
For the density of states at the Fermi level, the calculation gives 5.3 states/eV per cell. For the total magnetization, the calculation gives 0.96 μB per cell.

Cell: 5.3099 5.3099 5.3099 Å, 90.00 90.00 90.00°
With the nearest neighbours (Å) after each atom.
Fractional coordinates of all 5 atoms:
Se1 0.5000 0.0000 0.0000  2 Sb 2.65
Se2 0.0000 0.0000 0.5000  2 Sb 2.65
Se3 0.0000 0.5000 0.0000  2 Sb 2.65
Sb1 0.0000 0.0000 0.0000  6 Se 2.65
P1 0.5000 0.5000 0.5000  12 Se 3.75

=====

How do the energies compare? Relative to the most stable structure, in kJ/mol of atoms: i 0.0; ii 42.2; iii 103.4.

=====

i:
Below is a relaxed SbTe2PSe crystal, with properties calculated at the PBE-GGA level.

## Properties
For the density of states at the Fermi level, the calculation gives 5.6 states/eV per cell. For the total magnetization, the calculation gives 0.00 μB per cell.

Cell: 5.2122 5.2122 5.2547 Å, 90.00 90.00 90.00°
With the nearest neighbours (Å) after each atom.
Fractional coordinates of all 5 atoms:
P1 0.0000 0.0000 0.0000  4 Te 2.61, 2 Sb 2.63
Te1 0.0000 0.5000 0.0000  2 P 2.61
Te2 0.5000 0.0000 0.0000  2 P 2.61
Sb1 0.0000 0.0000 0.5000  2 P 2.63
Se1 0.5000 0.5000 0.5000  4 Sb 3.69, 8 Te 3.70

=====

ii:
Below is a relaxed SbTe2PSe crystal, with properties calculated at the PBE-GGA level.

## Properties
For the density of states at the Fermi level, the calculation gives 5.8 states/eV per cell. For the total magnetization, the calculation gives 0.05 μB per cell.

Cell: 5.3605 5.3605 5.4793 Å, 90.00 90.00 90.00°
With the nearest neighbours (Å) after each atom.
Fractional coordinates of all 5 atoms:
Te1 0.0000 0.5000 0.0000  2 Se 2.68
Te2 0.5000 0.0000 0.0000  2 Se 2.68
Sb1 0.0000 0.0000 0.5000  2 Se 2.74
P1 0.5000 0.5000 0.5000  4 Sb 3.79, 8 Te 3.83
Se1 0.0000 0.0000 0.0000  4 Te 2.68, 2 Sb 2.74

=====

How do the energies compare? Relative to the most stable structure, in kJ/mol of atoms: i 0.0; ii 34.8.